Computed, not measured: a relaxed structure of Sm3B2TeRh9 at the PBE-GGA level of DFT.

Lattice parameters (Å, degrees): 5.9256 5.9256 8.6705 90.00 90.00 120.00
Last column: nearest neighbours and their distance in Å.
Positions (direct):
Sm 0.3333 0.6667 0.6820  9 Rh 2.99-3.24
Sm 0.0000 0.0000 0.0000  12 Rh 2.91-2.96
Sm 0.6667 0.3333 0.3180  9 Rh 2.99-3.24
B 0.3333 0.6667 0.1451  6 Rh 2.06-2.12
B 0.6667 0.3333 0.8549  6 Rh 2.06-2.12
Te 0.0000 0.0000 0.5000  6 Rh 2.59
Rh 0.8358 0.1642 0.7269  1 B 2.06
Rh 0.8358 0.6716 0.7269  1 B 2.06
Rh 0.3284 0.1642 0.7269  1 B 2.06
Rh 0.6716 0.8358 0.2731  1 B 2.06
Rh 0.1642 0.3284 0.2731  1 B 2.06
Rh 0.1642 0.8358 0.2731  1 B 2.06
Rh 0.5000 0.0000 0.0000  2 B 2.12
Rh 0.0000 0.5000 0.0000  2 B 2.12
Rh 0.5000 0.5000 0.0000  2 B 2.12

Results
The density is 9.61 Mg/m³. Its space-group type is No. 164. For the formation energy without anion corrections, the calculation gives -0.60 eV/atom.

=====

Computed, not measured: a relaxed structure of Sm4TlB3Rh12 at the PBE-GGA level of DFT.

Lattice parameters (Å, degrees): 7.6404 7.6404 7.6404 109.47 109.47 109.47
Last column: nearest neighbours and their distance in Å.
Positions (direct):
Sm 0.5000 0.5000 0.5000  12 Rh 3.12-3.13
Sm 0.0000 0.0000 0.5000  12 Rh 3.12-3.13
Sm 0.5000 0.0000 0.0000  12 Rh 3.12-3.13
Sm 0.0000 0.5000 0.0000  12 Rh 3.12-3.13
Tl 0.0000 0.0000 0.0000  6 Rh 2.50
B 0.5000 0.0000 0.5000  2 Rh 1.91
B 0.5000 0.5000 0.0000  2 Rh 1.91
B 0.0000 0.5000 0.5000  2 Rh 1.91
Rh 0.2500 0.5000 0.7500  2 B 2.21
Rh 0.7162 0.0000 0.7162  1 B 1.91
Rh 0.2838 0.0000 0.2838  1 B 1.91
Rh 0.7500 0.5000 0.2500  2 B 2.21
Rh 0.7162 0.7162 0.0000  1 B 1.91
Rh 0.2838 0.2838 0.0000  1 B 1.91
Rh 0.7500 0.2500 0.5000  2 B 2.21
Rh 0.2500 0.7500 0.5000  2 B 2.21
Rh 0.5000 0.2500 0.7500  2 B 2.21
Rh 0.0000 0.7162 0.7162  1 B 1.91
Rh 0.5000 0.7500 0.2500  2 B 2.21
Rh 0.0000 0.2838 0.2838  1 B 1.91

Results
Its total energy is -6.922 eV/atom. The density is 10.03 Mg/m³. Its space-group type is No. 229.

=====

Computed, not measured: a relaxed structure of Sm2Zn2BRh4 at the PBE-GGA level of DFT.

Lattice parameters (Å, degrees): 5.8538 5.8538 5.8538 95.13 117.08 117.08
Last column: nearest neighbours and their distance in Å.
Positions (direct):
Sm 0.5000 0.7500 0.2500  8 Rh 2.93, 4 Zn 3.08
Sm 0.5000 0.2500 0.7500  8 Rh 2.93, 4 Zn 3.08
Zn 0.0000 0.7034 0.7034  1 B 2.34
Zn 0.0000 0.2966 0.2966  1 B 2.34
B 0.0000 0.0000 0.0000  4 Rh 2.12, 2 Zn 2.34
Rh 0.0000 0.7542 0.2458  1 B 2.12
Rh 0.5084 0.7542 0.7542  1 B 2.12
Rh 0.0000 0.2458 0.7542  1 B 2.12
Rh 0.4916 0.2458 0.2458  1 B 2.12

Results
Its total energy is -5.948 eV/atom. The density is 9.62 Mg/m³. Its space-group type is No. 139.

=====

Computed, not measured: a relaxed structure of SmZn2BRh2 at the PBE-GGA level of DFT.

Lattice parameters (Å, degrees): 4.1389 4.1389 5.6454 90.00 90.00 90.00
Last column: nearest neighbours and their distance in Å.
Positions (direct):
Sm 0.0000 0.0000 0.5000  2 B 2.82
Zn 0.5000 0.5000 0.7193  1 Zn 2.48, 4 Rh 2.61
Zn 0.5000 0.5000 0.2807  1 Zn 2.48, 4 Rh 2.61
B 0.0000 0.0000 0.0000  4 Rh 2.07
Rh 0.5000 0.0000 0.0000  2 B 2.07
Rh 0.0000 0.5000 0.0000  2 B 2.07

Results
Its total energy is -5.337 eV/atom. The density is 8.55 Mg/m³. Its space-group type is No. 123.

=====

Computed, not measured: a relaxed structure of Sm3ZnB2Rh9 at the PBE-GGA level of DFT.

Lattice parameters (Å, degrees): 6.0739 6.0739 7.7565 90.00 90.00 120.00
Last column: nearest neighbours and their distance in Å.
Positions (direct):
Sm 0.3333 0.6667 0.6553  12 Rh 3.06-3.20
Sm 0.0000 0.0000 0.0000  12 Rh 2.99-3.04
Sm 0.6667 0.3333 0.3447  12 Rh 3.06-3.20
Zn 0.0000 0.0000 0.5000  6 Rh 2.40
B 0.3333 0.6667 0.1482  6 Rh 2.05-2.10
B 0.6667 0.3333 0.8518  6 Rh 2.05-2.10
Rh 0.8242 0.1758 0.6967  1 B 2.05
Rh 0.8242 0.6483 0.6967  1 B 2.05
Rh 0.3517 0.1758 0.6967  1 B 2.05
Rh 0.6483 0.8242 0.3033  1 B 2.05
Rh 0.1758 0.3517 0.3033  1 B 2.05
Rh 0.1758 0.8242 0.3033  1 B 2.05
Rh 0.5000 0.0000 0.0000  2 B 2.10
Rh 0.0000 0.5000 0.0000  2 B 2.10
Rh 0.5000 0.5000 0.0000  2 B 2.10

Results
Its total energy is -6.880 eV/atom. The density is 9.81 Mg/m³. Its space-group type is No. 164.

=====

Computed, not measured: a relaxed structure of SnB2Rh at the PBE-GGA level of DFT.

Lattice parameters (Å, degrees): 5.1496 5.1496 6.0327 64.74 64.74 90.00
Last column: nearest neighbours and their distance in Å.
Positions (direct):
B 0.5667 0.1250 0.2500  2 Rh 2.02
B 0.1833 0.6250 0.2500  2 Rh 2.02
B 0.3750 0.4333 0.7500  2 Rh 2.02
B 0.8750 0.8167 0.7500  2 Rh 2.02
Rh 0.5000 0.5000 0.0000  4 B 2.02
Rh 0.2500 0.7500 0.5000  4 B 2.02
Sn 0.0000 0.0000 0.0000  4 B 2.37
Sn 0.7500 0.2500 0.5000  4 B 2.37

Results
Its total energy is -5.668 eV/atom. The density is 6.33 Mg/m³. Its space-group type is No. 122.

=====

Copy entry 1 word for word.
Computed, not measured: a relaxed structure of Sm3B2TeRh9 at the PBE-GGA level of DFT.

Lattice parameters (Å, degrees): 5.9256 5.9256 8.6705 90.00 90.00 120.00
Last column: nearest neighbours and their distance in Å.
Positions (direct):
Sm 0.3333 0.6667 0.6820  9 Rh 2.99-3.24
Sm 0.0000 0.0000 0.0000  12 Rh 2.91-2.96
Sm 0.6667 0.3333 0.3180  9 Rh 2.99-3.24
B 0.3333 0.6667 0.1451  6 Rh 2.06-2.12
B 0.6667 0.3333 0.8549  6 Rh 2.06-2.12
Te 0.0000 0.0000 0.5000  6 Rh 2.59
Rh 0.8358 0.1642 0.7269  1 B 2.06
Rh 0.8358 0.6716 0.7269  1 B 2.06
Rh 0.3284 0.1642 0.7269  1 B 2.06
Rh 0.6716 0.8358 0.2731  1 B 2.06
Rh 0.1642 0.3284 0.2731  1 B 2.06
Rh 0.1642 0.8358 0.2731  1 B 2.06
Rh 0.5000 0.0000 0.0000  2 B 2.12
Rh 0.0000 0.5000 0.0000  2 B 2.12
Rh 0.5000 0.5000 0.0000  2 B 2.12

Results
The density is 9.61 Mg/m³. Its space-group type is No. 164. For the formation energy without anion corrections, the calculation gives -0.60 eV/atom.

=====

> What is the density in the fifth record?

9.81 Mg/m³